1.
Material: Li2Ca4P
Method: DFT, PBE
State: relaxed

Output
density of states at the Fermi level: 8.43 states/eV per cell
ΔH_f (0 K): -1.68 eV per formula unit

```
data_Li2Ca4P
_chemical_formula_sum 'Li4 Ca8 P2'
_cell_length_a 5.461
_cell_length_b 5.461
_cell_length_c 16.624
_cell_angle_alpha 90.00
_cell_angle_beta 90.00
_cell_angle_gamma 90.00
_space_group_name_H-M_alt 'I 4/m m m'
_space_group_IT_number 139
_space_group_name_Hall '-I 4 2'
loop_
_atom_site_label
_atom_site_fract_x
_atom_site_fract_y
_atom_site_fract_z
_atom_site_occupancy
Li1 0.000 0.000 0.132 1
Ca1 0.000 0.000 0.328 1
Ca2 0.000 0.500 0.000 1
P1 0.000 0.000 0.500 1
```

2.
Material: Li2Ca2P
Method: DFT, PBE
State: relaxed

Output
density of states at the Fermi level: 7.90 states/eV per cell
ΔH_f (0 K): -1.45 eV per formula unit

```
data_Li2Ca2P
_chemical_formula_sum 'Li4 Ca4 P2'
_cell_length_a 6.853
_cell_length_b 6.853
_cell_length_c 4.714
_cell_angle_alpha 90.00
_cell_angle_beta 90.00
_cell_angle_gamma 90.00
_space_group_name_H-M_alt 'P 4/m b m'
_space_group_IT_number 127
_space_group_name_Hall '-P 4 2ab'
loop_
_atom_site_label
_atom_site_fract_x
_atom_site_fract_y
_atom_site_fract_z
_atom_site_occupancy
Li1 0.139 0.361 0.000 1
Ca1 0.191 0.691 0.500 1
P1 0.000 0.000 0.000 1
```

3.
Material: LiCa3P
Method: DFT, PBE
State: relaxed

Output
distance to the lowest polymorph of the same formula: 0.056 eV/atom
density of states at the Fermi level: 27.24 states/eV per cell
ΔH_f (0 K): -2.36 eV per formula unit

```
data_LiCa3P
_chemical_formula_sum 'Li6 Ca18 P6'
_cell_length_a 7.8906
_cell_length_b 7.8906
_cell_length_c 19.2054
_cell_angle_alpha 90.00
_cell_angle_beta 90.00
_cell_angle_gamma 120.00
_space_group_name_H-M_alt 'R -3 c'
_space_group_IT_number 167
_space_group_name_Hall '-R 3 2"c'
loop_
_atom_site_label
_atom_site_fract_x
_atom_site_fract_y
_atom_site_fract_z
_atom_site_occupancy
Li1 0.0000 0.0000 0.2500 1
Ca1 0.0000 0.4662 0.2500 1
P1 0.0000 0.0000 0.0000 1
```

4.
Material: LiCaP2
Method: DFT, PBE
State: relaxed

Output
distance to the lowest polymorph of the same formula: 0.000 eV/atom
density of states at the Fermi level: 2.66 states/eV per cell
ΔH_f (0 K): -2.88 eV per formula unit

```
data_LiCaP2
_chemical_formula_sum 'Li4 Ca4 P8'
_cell_length_a 7.330
_cell_length_b 4.172
_cell_length_c 9.913
_cell_angle_alpha 90.00
_cell_angle_beta 90.00
_cell_angle_gamma 90.00
_space_group_name_H-M_alt 'P n m a'
_space_group_IT_number 62
_space_group_name_Hall '-P 2ac 2n'
loop_
_atom_site_label
_atom_site_fract_x
_atom_site_fract_y
_atom_site_fract_z
_atom_site_occupancy
Li1 0.008 0.250 0.115 1
Ca1 0.127 0.250 0.629 1
P1 0.178 0.250 0.334 1
P2 0.219 0.250 0.914 1
```

5.
Material: Li7Ca3P4
Method: DFT, PBE
State: relaxed

Output
density of states at the Fermi level: 3.53 states/eV per cell
ΔH_f (0 K): -11.17 eV per formula unit

```
data_Li7Ca3P4
_chemical_formula_sum 'Li14 Ca6 P8'
_cell_length_a 15.525
_cell_length_b 4.205
_cell_length_c 9.980
_cell_angle_alpha 90.00
_cell_angle_beta 128.57
_cell_angle_gamma 90.00
_space_group_name_H-M_alt 'C 1 2/m 1'
_space_group_IT_number 12
_space_group_name_Hall '-C 2y'
loop_
_atom_site_label
_atom_site_fract_x
_atom_site_fract_y
_atom_site_fract_z
_atom_site_occupancy
Li1 0.000 0.000 0.000 1
Li2 0.015 0.500 0.781 1
Li3 0.174 0.000 0.915 1
Li4 0.177 0.500 0.512 1
Ca1 0.000 0.000 0.500 1
Ca2 0.201 0.500 0.239 1
P1 0.105 0.000 0.326 1
P2 0.168 0.500 0.761 1
```

6.
Material: LiCa3P
Method: DFT, PBE
State: relaxed

Output
distance to the lowest polymorph of the same formula: 0.302 eV/atom
density of states at the Fermi level: 9.77 states/eV per cell
ΔH_f (0 K): -1.13 eV per formula unit

```
data_LiCa3P
_chemical_formula_sum 'Li4 Ca12 P4'
_cell_length_a 6.903
_cell_length_b 14.989
_cell_length_c 6.088
_cell_angle_alpha 90.00
_cell_angle_beta 90.00
_cell_angle_gamma 90.00
_space_group_name_H-M_alt 'C m c m'
_space_group_IT_number 63
_space_group_name_Hall '-C 2c 2'
loop_
_atom_site_label
_atom_site_fract_x
_atom_site_fract_y
_atom_site_fract_z
_atom_site_occupancy
Li1 0.000 0.051 0.250 1
Ca1 0.000 0.500 0.000 1
Ca2 0.249 0.184 0.750 1
P1 0.000 0.334 0.750 1
```

7.
Material: LiCa3P
Method: DFT, PBE
State: relaxed

Output
distance to the lowest polymorph of the same formula: 0.058 eV/atom
density of states at the Fermi level: 13.56 states/eV per cell
ΔH_f (0 K): -2.34 eV per formula unit

```
data_LiCa3P
_chemical_formula_sum 'Li4 Ca12 P4'
_cell_length_a 5.610
_cell_length_b 5.613
_cell_length_c 21.850
_cell_angle_alpha 90.00
_cell_angle_beta 90.00
_cell_angle_gamma 90.00
_space_group_name_H-M_alt 'I m m a'
_space_group_IT_number 74
_space_group_name_Hall '-I 2b 2'
loop_
_atom_site_label
_atom_site_fract_x
_atom_site_fract_y
_atom_site_fract_z
_atom_site_occupancy
Li1 0.000 0.250 0.050 1
Ca1 0.000 0.250 0.330 1
Ca2 0.000 0.250 0.555 1
Ca3 0.000 0.250 0.812 1
P1 0.000 0.250 0.681 1
```

8.
Material: LiCa3P
Method: DFT, PBE
State: relaxed

Output
distance to the lowest polymorph of the same formula: 0.135 eV/atom
density of states at the Fermi level: 13.67 states/eV per cell
ΔH_f (0 K): -1.96 eV per formula unit

```
data_LiCa3P
_chemical_formula_sum 'Li4 Ca12 P4'
_cell_length_a 18.213
_cell_length_b 3.997
_cell_length_c 10.271
_cell_angle_alpha 90.00
_cell_angle_beta 113.84
_cell_angle_gamma 90.00
_space_group_name_H-M_alt 'C 1 2/m 1'
_space_group_IT_number 12
_space_group_name_Hall '-C 2y'
loop_
_atom_site_label
_atom_site_fract_x
_atom_site_fract_y
_atom_site_fract_z
_atom_site_occupancy
Li1 0.194 0.000 0.415 1
Ca1 0.012 0.000 0.785 1
Ca2 0.114 0.500 0.588 1
Ca3 0.199 0.000 0.089 1
P1 0.133 0.500 0.877 1
```

9.
Material: LiCaP2
Method: DFT, PBE
State: relaxed

Output
distance to the lowest polymorph of the same formula: 0.086 eV/atom
density of states at the Fermi level: 1.34 states/eV per cell
ΔH_f (0 K): -2.54 eV per formula unit

```
data_LiCaP2
_chemical_formula_sum 'Li2 Ca2 P4'
_cell_length_a 8.209
_cell_length_b 4.097
_cell_length_c 4.888
_cell_angle_alpha 90.00
_cell_angle_beta 110.75
_cell_angle_gamma 90.00
_space_group_name_H-M_alt 'C 1 2/m 1'
_space_group_IT_number 12
_space_group_name_Hall '-C 2y'
loop_
_atom_site_label
_atom_site_fract_x
_atom_site_fract_y
_atom_site_fract_z
_atom_site_occupancy
Li1 0.000 0.000 0.000 1
Ca1 0.000 0.500 0.500 1
P1 0.244 0.500 0.124 1
```

10.
Material: LiCaP2
Method: DFT, PBE
State: relaxed

Output
distance to the lowest polymorph of the same formula: 0.146 eV/atom
density of states at the Fermi level: 3.25 states/eV per cell
ΔH_f (0 K): -2.30 eV per formula unit

```
data_LiCaP2
_chemical_formula_sum 'Li4 Ca4 P8'
_cell_length_a 4.533
_cell_length_b 4.533
_cell_length_c 16.029
_cell_angle_alpha 90.00
_cell_angle_beta 90.00
_cell_angle_gamma 90.00
_space_group_name_H-M_alt 'I -4 2 d'
_space_group_IT_number 122
_space_group_name_Hall 'I -4 2bw'
loop_
_atom_site_label
_atom_site_fract_x
_atom_site_fract_y
_atom_site_fract_z
_atom_site_occupancy
Li1 0.000 0.000 0.000 1
Ca1 0.000 0.000 0.500 1
P1 0.108 0.250 0.125 1
```

11.
Material: LiCaP2
Method: DFT, PBE
State: relaxed

Output
distance to the lowest polymorph of the same formula: 0.246 eV/atom
density of states at the Fermi level: 2.63 states/eV per cell
ΔH_f (0 K): -1.90 eV per formula unit

```
data_LiCaP2
_chemical_formula_sum 'Li2 Ca2 P4'
_cell_length_a 6.041
_cell_length_b 7.938
_cell_length_c 3.035
_cell_angle_alpha 90.00
_cell_angle_beta 90.00
_cell_angle_gamma 90.00
_space_group_name_H-M_alt 'C m m m'
_space_group_IT_number 65
_space_group_name_Hall '-C 2 2'
loop_
_atom_site_label
_atom_site_fract_x
_atom_site_fract_y
_atom_site_fract_z
_atom_site_occupancy
Li1 0.000 0.000 0.000 1
Ca1 0.000 0.500 0.000 1
P1 0.250 0.250 0.500 1
```

12.
Material: LiCaP3
Method: DFT, PBE
State: relaxed

Output
distance to the lowest polymorph of the same formula: 0.700 eV/atom
density of states at the Fermi level: 2.48 states/eV per cell
ΔH_f (0 K): 3.81 eV per formula unit

```
data_LiCaP3
_chemical_formula_sum 'Li1 Ca1 P3'
_cell_length_a 5.223
_cell_length_b 5.223
_cell_length_c 5.223
_cell_angle_alpha 90.00
_cell_angle_beta 90.00
_cell_angle_gamma 90.00
_space_group_name_H-M_alt 'P m -3 m'
_space_group_IT_number 221
_space_group_name_Hall '-P 4 2 3'
loop_
_atom_site_label
_atom_site_fract_x
_atom_site_fract_y
_atom_site_fract_z
_atom_site_occupancy
Li1 0.000 0.000 0.000 1
Ca1 0.500 0.500 0.500 1
P1 0.000 0.500 0.500 1
```